Material: CdBiF
Method: DFT, PBE
State: optimized geometry

Cell: 12.5208 5.6505 6.2326 Å, 90.00 90.00 90.00°
Closest atoms and distances in Å follow each position.
Fractional positions:
Cd: 0.0000 0.1309 0.0000  3 F 2.23-2.30
Cd: 0.1482 0.6297 0.9855  2 F 2.27-2.40
Cd: 0.3518 0.3703 0.4855  2 F 2.27-2.40
Cd: 0.5000 0.8691 0.5000  3 F 2.23-2.30
Cd: 0.6482 0.3703 0.4855  2 F 2.27-2.40
Cd: 0.8518 0.6297 0.9855  2 F 2.27-2.40
Bi: 0.0000 0.4225 0.6154  3 Cd 2.91-3.18
Bi: 0.1883 0.0159 0.5885  2 F 2.77-3.03, 1 Cd 2.93
Bi: 0.3117 0.9841 0.0885  2 F 2.77-3.03, 1 Cd 2.93
Bi: 0.5000 0.5775 0.1154  3 Cd 2.91-3.18
Bi: 0.6883 0.9841 0.0885  2 F 2.77-3.03, 1 Cd 2.93
Bi: 0.8117 0.0159 0.5885  2 F 2.77-3.03, 1 Cd 2.93
F: 0.0000 0.7917 0.1819  3 Cd 2.23-2.40
F: 0.1440 0.2893 0.1791  2 Cd 2.27-2.30
F: 0.3560 0.7107 0.6791  2 Cd 2.27-2.30
F: 0.5000 0.2083 0.6819  3 Cd 2.23-2.40
F: 0.6440 0.7107 0.6791  2 Cd 2.27-2.30
F: 0.8560 0.2893 0.1791  2 Cd 2.27-2.30

Computed properties:
SG	Pmn2_1
E_form (uncorrected)	-915.0	meV/atom
magnetization	0.0	μB per formula unit
V	24.5	A^3/atom
relative energy among the computed polymorphs	33.4	meV/atom

Material: CeNd6Sm
Method: DFT, PBE
State: optimized geometry

Cell: 5.1675 5.1675 10.3397 Å, 90.00 90.00 90.00°
Closest atoms and distances in Å follow each position.
Fractional positions:
Ce: 0.0000 0.0000 0.0000  12 Nd 3.63-3.65
Nd: 0.0000 0.5000 0.2470  2 Ce 3.63, 8 Nd 3.63-3.68, 2 Sm 3.68
Nd: 0.0000 0.5000 0.7530  8 Nd 3.63-3.68, 2 Ce 3.63, 2 Sm 3.68
Nd: 0.5000 0.0000 0.2470  2 Ce 3.63, 8 Nd 3.63-3.68, 2 Sm 3.68
Nd: 0.5000 0.0000 0.7530  8 Nd 3.63-3.68, 2 Ce 3.63, 2 Sm 3.68
Nd: 0.5000 0.5000 0.0000  8 Nd 3.63, 4 Ce 3.65
Nd: 0.5000 0.5000 0.5000  4 Sm 3.65, 8 Nd 3.68
Sm: 0.0000 0.0000 0.5000  12 Nd 3.65-3.68

Computed properties:
SG	P4/mmm
magnetization	0.9	μB per formula unit
V	34.5	A^3/atom
relative energy among the computed polymorphs	0.0	meV/atom
ΔH_f (0 K)	47	meV/atom

Material: Rh2WAu
Method: DFT, PBE
State: optimized geometry

Cell: 4.4475 4.4475 4.4475 Å, 60.00 60.00 60.00°
Closest atoms and distances in Å follow each position.
Fractional positions:
Rh: 0.2500 0.2500 0.2500  4 Au 2.72, 4 W 2.72
Rh: 0.7500 0.7500 0.7500  4 W 2.72, 4 Au 2.72
W: 0.0000 0.0000 0.0000  8 Rh 2.72
Au: 0.5000 0.5000 0.5000  8 Rh 2.72

Computed properties:
SG	Fm-3m
magnetization	0.0	μB per formula unit
V	15.6	A^3/atom
relative energy among the computed polymorphs	233.4	meV/atom
ΔH_f (0 K)	135	meV/atom

Material: SiAsPRh2C
Method: DFT, PBE
State: optimized geometry

Cell: 5.2219 5.2219 6.7397 Å, 112.97 112.97 35.07°
Closest atoms and distances in Å follow each position.
Fractional positions:
Si: 0.0000 0.0000 0.0000  2 C 1.86
As: 0.7815 0.7815 0.4374  3 Rh 2.39-2.51, 1 P 2.45
P: 0.0426 0.0426 0.6883  2 Rh 2.25, 1 Si 2.31, 1 As 2.45
Rh: 0.2634 0.2634 0.1600  1 C 2.05
Rh: 0.7184 0.7184 0.7615  2 P 2.25, 2 C 2.43, 1 As 2.51
C: 0.3994 0.3994 0.9988  2 Si 1.86, 1 Rh 2.05

Computed properties:
SG	Cm
E_form (uncorrected)	42.6	meV/atom
magnetization	0.0	μB per formula unit
V	16.1	A^3/atom
relative energy among the computed polymorphs	319.0	meV/atom

Material: Zn3TcGe
Method: DFT, PBE
State: optimized geometry

Cell: 4.6765 4.6765 4.6765 Å, 90.00 90.00 90.00°
Closest atoms and distances in Å follow each position.
Fractional positions:
Zn: 0.0000 0.0000 0.5000  2 Ge 2.34
Zn: 0.0000 0.5000 0.0000  2 Ge 2.34
Zn: 0.5000 0.0000 0.0000  2 Ge 2.34
Tc: 0.5000 0.5000 0.5000  12 Zn 3.31
Ge: 0.0000 0.0000 0.0000  6 Zn 2.34

Computed properties:
SG	Pm-3m
magnetization	3.2	μB per formula unit
V	20.5	A^3/atom
relative energy among the computed polymorphs	234.5	meV/atom
ΔH_f (0 K)	1104	meV/atom

Material: Np2BiAu8
Method: DFT, PBE
State: optimized geometry

Cell: 8.9191 8.9191 5.8713 Å, 109.01 109.01 34.75°
Closest atoms and distances in Å follow each position.
Fractional positions:
Np: 0.1720 0.1720 0.1720  10 Au 2.94-3.10
Np: 0.8280 0.8280 0.8280  10 Au 2.94-3.10
Bi: 0.5000 0.5000 0.5000  8 Au 2.94-3.06
Au: 0.9997 0.9997 0.2432  3 Au 2.86-3.19, 2 Bi 3.06, 2 Np 3.10
Au: 0.0003 0.0003 0.7568  3 Au 2.86-3.19, 2 Bi 3.06, 2 Np 3.10
Au: 0.1763 0.1763 0.6765  2 Np 2.94, 8 Au 3.01-3.21
Au: 0.3414 0.3414 0.0899  5 Au 2.92-3.06, 1 Bi 2.94, 3 Np 3.04-3.08
Au: 0.3410 0.3410 0.5927  5 Au 2.92-3.06, 1 Bi 2.94, 3 Np 3.04-3.09
Au: 0.6590 0.6590 0.4073  5 Au 2.92-3.06, 1 Bi 2.94, 3 Np 3.04-3.09
Au: 0.6586 0.6586 0.9101  5 Au 2.92-3.06, 1 Bi 2.94, 3 Np 3.04-3.08
Au: 0.8237 0.8237 0.3235  2 Np 2.94, 8 Au 3.01-3.21

Computed properties:
SG	C2/m
magnetization	8.0	μB per formula unit
V	22.7	A^3/atom
ΔH_f (0 K)	-20	meV/atom